(w)
{
  "formula": "TaAg2Mo",
  "functional": "meta-GGA SCAN",
  "state": "PBEsol geometry",
  "n_ef_per_ev_cell": 2.64,
  "cell": [[2.665, -4.688, 0.000], [2.665, 4.688, 0.000], [-0.625, 0.000, 2.606]],
  "species": ["Ta", "Ag", "Ag", "Mo"],
  "fractional_positions": [[0.000, 0.000, 0.000], [0.000, 0.500, 0.500], [0.500, 0.000, 0.500], [0.500, 0.500, 0.000]]
}

=====

(x)
{
  "formula": "TaAg2Mo",
  "functional": "meta-GGA SCAN",
  "state": "PBEsol geometry",
  "n_ef_per_ev_cell": 2.98,
  "cell": [[3.360, 0.000, 0.000], [0.000, 4.147, 0.000], [0.000, 0.000, 4.664]],
  "species": ["Ta", "Ag", "Ag", "Mo"],
  "fractional_positions": [[0.000, 0.000, 0.000], [0.000, 0.500, 0.500], [0.500, 0.000, 0.500], [0.500, 0.500, 0.000]]
}

=====

Tell me which of them is the most stable. Sure, it is (x).